1.
Compound: CuPSeS2
Source: Alexandria
Functional: PBE
Structure: relaxed

## Properties
For the formation energy (no corrections), the calculation gives 0.804 eV per atom. For the calculated total energy, the calculation gives -3.445 eV/atom. Its space group is P4/mmm (123). As for the total magnetization: 0.0 μB per cell.

Lattice parameters (Å, degrees): 4.503 4.503 4.535 90.00 90.00 90.00
Atoms (fractional coordinates):
Cu1 0.000 0.000 0.000
P1 0.000 0.000 0.500
Se1 0.500 0.500 0.500
S1 0.000 0.500 0.000
S2 0.500 0.000 0.000

2.
Compound: PrY7Er12
Source: Alexandria
Functional: PBE
Structure: relaxed

## Properties
For the calculated total energy, the calculation gives -4.989 eV/atom. The formation energy comes out at 0.25 eV/atom. Its space group is R-3 (148). As for the total magnetization: 0.0 μB per cell.

Lattice parameters (Å, degrees): 8.691 8.691 8.691 87.27 87.27 87.27
Atoms (fractional coordinates):
Y1 0.998 0.633 0.122
Er1 0.106 0.347 0.434
Y2 0.002 0.367 0.878
Y3 0.878 0.002 0.367
Er2 0.653 0.566 0.894
Y4 0.500 0.500 0.500
Y5 0.122 0.998 0.633
Er3 0.894 0.653 0.566
Er4 0.347 0.434 0.106
Pr1 0.000 0.000 0.000
Er5 0.234 0.761 0.357
Er6 0.761 0.357 0.234
Er7 0.357 0.234 0.761
Er8 0.643 0.766 0.239
Y6 0.633 0.122 0.998
Er9 0.434 0.106 0.347
Y7 0.367 0.878 0.002
Er10 0.239 0.643 0.766
Er11 0.766 0.239 0.643
Er12 0.566 0.894 0.653